Record 1
This record from the Alexandria database describes a geometry-optimized Mg3Sc structure. The functional is GGA-PBEsol.

```
data_Mg3Sc
_cell_length_a 3.1848
_cell_length_b 3.1848
_cell_length_c 10.4516
_cell_angle_alpha 90.00
_cell_angle_beta 90.00
_cell_angle_gamma 120.00
_symmetry_space_group_name_H-M 'P -6 m 2'
_symmetry_Int_Tables_number 187
_symmetry_space_group_name_Hall 'P -6 2'
loop_
_atom_site_label
_atom_site_fract_x
_atom_site_fract_y
_atom_site_fract_z
Mg1 0.0000 0.0000 0.0000
Mg2 0.6667 0.3333 0.2497
Sc1 0.0000 0.0000 0.5000
```

total energy = -0.107 hartree per atom

Record 2
This record from the Alexandria database describes a geometry-optimized GdDyIn2 structure. The functional is GGA-PBEsol.

```
data_GdDyIn2
_cell_length_a 7.4162
_cell_length_b 7.4162
_cell_length_c 7.4162
_cell_angle_alpha 90.00
_cell_angle_beta 90.00
_cell_angle_gamma 90.00
_symmetry_space_group_name_H-M 'F m -3 m'
_symmetry_Int_Tables_number 225
_symmetry_space_group_name_Hall '-F 4 2 3'
loop_
_atom_site_label
_atom_site_fract_x
_atom_site_fract_y
_atom_site_fract_z
Gd1 0.0000 0.0000 0.0000
Dy1 0.0000 0.0000 0.5000
In1 0.2500 0.2500 0.2500
```

total energy = -0.253 hartree per atom

Record 3
This record from the Alexandria database describes a geometry-optimized LiNb2CdS structure. The functional is GGA-PBEsol.

```
data_LiNb2CdS
_cell_length_a 4.5493
_cell_length_b 4.5493
_cell_length_c 4.9871
_cell_angle_alpha 90.00
_cell_angle_beta 90.00
_cell_angle_gamma 90.00
_symmetry_space_group_name_H-M 'P 4/m m m'
_symmetry_Int_Tables_number 123
_symmetry_space_group_name_Hall '-P 4 2'
loop_
_atom_site_label
_atom_site_fract_x
_atom_site_fract_y
_atom_site_fract_z
Li1 0.0000 0.0000 0.0000
Nb1 0.0000 0.5000 0.5000
Cd1 0.5000 0.5000 0.0000
S1 0.5000 0.5000 0.5000
```

total energy = -0.201 hartree per atom

Record 4
This record from the Alexandria database describes a geometry-optimized ZrHgW structure. The functional is GGA-PBEsol.

```
data_ZrHgW
_cell_length_a 3.5317
_cell_length_b 4.5173
_cell_length_c 13.9903
_cell_angle_alpha 90.00
_cell_angle_beta 90.00
_cell_angle_gamma 90.00
_symmetry_space_group_name_H-M 'F m m 2'
_symmetry_Int_Tables_number 42
_symmetry_space_group_name_Hall 'F 2 -2'
loop_
_atom_site_label
_atom_site_fract_x
_atom_site_fract_y
_atom_site_fract_z
Zr1 0.0000 0.0000 0.0000
Hg1 0.0000 0.0000 0.6767
W1 0.0000 0.0000 0.3417
```

ΔE to the lowest computed polymorph = 0.000 eV/atom